Density functional theory data (GGA+U) for a geometry-optimized VPI2F structure.

a = 5.8281 Å, b = 5.8281 Å, c = 3.7955 Å
α = 90.00°, β = 90.00°, γ = 90.00°
Space group P4/mmm (No. 123)
Asymmetric unit:
V 0.0000 0.0000 0.0000
P 0.5000 0.5000 0.0000
I 0.0000 0.5000 0.5000
F 0.0000 0.0000 0.5000

Values from the calculation:
* crystal system: tetragonal
* electronic total energy: -3.15 eV/atom